Record 1
The following is a DFT calculation (GGA-PBE) of crystalline PuTlTe2 at its relaxed geometry.

a b c (Å): 8.6644 8.6644 8.6644
angles (deg): 30.03 30.03 30.03
Sites, in units of the cell vectors:
Pu1 0.0000 0.0000 0.0000
Tl1 0.8301 0.8301 0.8301
Te1 0.4038 0.4038 0.4038
Te2 0.5965 0.5965 0.5965

SG   No. 160
Formation energy (no corrections)   -0.769 eV per atom
Magnetization   5.00 Bohr magnetons per cell



Record 2
The following is a DFT calculation (GGA-PBE) of crystalline PuTl3Te4 at its relaxed geometry.

a b c (Å): 8.2053 8.2053 4.4908
angles (deg): 90.00 90.00 109.26
Sites, in units of the cell vectors:
Pu1 0.0000 0.0000 0.0000
Tl1 0.0000 0.5000 0.5000
Tl2 0.5000 0.0000 0.5000
Tl3 0.5000 0.5000 0.0000
Te1 0.2212 0.2212 0.5000
Te2 0.2310 0.7690 0.0000
Te3 0.7690 0.2310 0.0000
Te4 0.7788 0.7788 0.5000

SG   No. 65
Formation energy (no corrections)   -0.465 eV per atom
Magnetization   4.14 Bohr magnetons per cell



Record 3
The following is a DFT calculation (GGA-PBE) of crystalline Pu3TlTe4 at its relaxed geometry.

a b c (Å): 6.3906 6.3906 6.3906
angles (deg): 90.00 90.00 90.00
Sites, in units of the cell vectors:
Pu1 0.0000 0.0000 0.5000
Pu2 0.0000 0.5000 0.0000
Pu3 0.5000 0.0000 0.0000
Tl1 0.5000 0.5000 0.5000
Te1 0.0000 0.0000 0.0000
Te2 0.0000 0.5000 0.5000
Te3 0.5000 0.0000 0.5000
Te4 0.5000 0.5000 0.0000

SG   No. 221
Formation energy (no corrections)   -0.876 eV per atom
Magnetization   17.00 Bohr magnetons per cell



Record 4
The following is a DFT calculation (GGA-PBE) of crystalline PuTlTe at its relaxed geometry.

a b c (Å): 5.1815 5.1815 3.9828
angles (deg): 90.00 90.00 120.00
Sites, in units of the cell vectors:
Pu1 0.0000 0.0000 0.0000
Tl1 0.3333 0.6667 0.3942
Te1 0.6667 0.3333 0.7277

SG   No. 156
Formation energy (no corrections)   -0.241 eV per atom
Magnetization   6.42 Bohr magnetons per cell



Record 5
The following is a DFT calculation (GGA-PBE) of crystalline Pu2TlTe at its relaxed geometry.

a b c (Å): 3.6044 3.6044 8.4872
angles (deg): 90.00 90.00 90.00
Sites, in units of the cell vectors:
Pu1 0.0000 0.0000 0.2315
Pu2 0.0000 0.0000 0.7685
Tl1 0.5000 0.5000 0.5000
Te1 0.5000 0.5000 0.0000

SG   No. 123
Formation energy (no corrections)   -0.432 eV per atom
Magnetization   11.80 Bohr magnetons per cell



Record 6
The following is a DFT calculation (GGA-PBE) of crystalline PuTl4Te4 at its relaxed geometry.

a b c (Å): 7.9622 7.9622 7.9622
angles (deg): 118.74 118.74 92.20
Sites, in units of the cell vectors:
Pu1 0.0000 0.0000 0.0000
Tl1 0.0000 0.5000 0.5000
Tl2 0.3512 0.3512 0.0000
Tl3 0.5000 0.0000 0.5000
Tl4 0.6488 0.6488 0.0000
Te1 0.0449 0.6253 0.0000
Te2 0.3747 0.3747 0.4196
Te3 0.6253 0.0449 0.0000
Te4 0.9551 0.9551 0.5804

SG   No. 121
Formation energy (no corrections)   -0.288 eV per atom
Magnetization   4.88 Bohr magnetons per cell



Record 7
The following is a DFT calculation (GGA-PBE) of crystalline PuTl3Te3 at its relaxed geometry.

a b c (Å): 9.4609 4.5688 13.0970
angles (deg): 90.00 97.67 90.00
Sites, in units of the cell vectors:
Pu1 0.1386 0.2500 0.1302
Pu2 0.8614 0.7500 0.8698
Tl1 0.1023 0.2500 0.6368
Tl2 0.3578 0.7500 0.8836
Tl3 0.3881 0.7500 0.3855
Tl4 0.6119 0.2500 0.6145
Tl5 0.6422 0.2500 0.1164
Tl6 0.8977 0.7500 0.3632
Te1 0.0885 0.2500 0.8903
Te2 0.1440 0.2500 0.3699
Te3 0.3671 0.7500 0.1365
Te4 0.6329 0.2500 0.8635
Te5 0.8560 0.7500 0.6301
Te6 0.9115 0.7500 0.1097

SG   No. 11
Formation energy (no corrections)   -0.563 eV per atom
Magnetization   10.00 Bohr magnetons per cell



Record 8
The following is a DFT calculation (GGA-PBE) of crystalline PuTlTe2 at its relaxed geometry.

a b c (Å): 3.8896 3.8896 8.1675
angles (deg): 90.00 90.00 90.00
Sites, in units of the cell vectors:
Pu1 0.0000 0.0000 0.0000
Tl1 0.0000 0.0000 0.5000
Te1 0.5000 0.5000 0.2150
Te2 0.5000 0.5000 0.7850

SG   No. 123
Formation energy (no corrections)   -0.705 eV per atom
Magnetization   5.03 Bohr magnetons per cell



Which of these has the highest magnetization? Pu3TlTe4



Which formula does entry 4 have? PuTlTe



Which of these has the highest magnetization? Pu3TlTe4